The following is a GGA-PBE calculation of a geometry-optimized CePm3Nd structure, from the Alexandria database.

D(E_F) (states/eV per atom): 2.10
Calculated formation energy (eV per atom): 0.0586
E (eV per atom): -4.93
Calculated density (g/cm³): 7.098

Cell lengths 7.2422, 8.0814, 12.5802 Å; angles 75.22, 73.38, 77.08 degrees
Positions (direct):
Ce: 0.0469 0.1100 0.0938
Ce: 0.2426 0.4987 0.0003
Ce: 0.7574 0.5013 0.9997
Ce: 0.9531 0.8900 0.9062
Pm: 0.0482 0.0979 0.6032
Pm: 0.1459 0.2948 0.8056
Pm: 0.1491 0.3007 0.2961
Pm: 0.3451 0.6973 0.7052
Pm: 0.3498 0.7019 0.1943
Pm: 0.4492 0.8928 0.9034
Pm: 0.5508 0.1072 0.0966
Pm: 0.6502 0.2981 0.8057
Pm: 0.6549 0.3027 0.2948
Pm: 0.8509 0.6993 0.7039
Pm: 0.8541 0.7052 0.1944
Pm: 0.9518 0.9021 0.3968
Nd: 0.2505 0.4987 0.4994
Nd: 0.4497 0.8998 0.4011
Nd: 0.5503 0.1002 0.5989
Nd: 0.7495 0.5013 0.5006